(1)
{"formula": "LiZn2As2", "functional": "PBE", "state": "relaxed", "crystal_system": "tetragonal", "dos_at_fermi_per_ev_atom": 0.282, "magnetic_moment_mub_per_cell": 0.00, "delta_e_f_ev_per_atom": -0.068, "vol_a3_per_cell": 100, "cell": [[-2.718, 1.752, 2.698], [-0.329, -3.665, 2.049], [2.743, 0.526, 5.709]], "species": ["As", "As", "Zn", "Zn", "Li"], "fractional_positions": [[0.750, 0.250, 0.500], [0.250, 0.750, 0.500], [0.393, 0.393, 0.214], [0.607, 0.607, 0.786], [0.000, 0.000, 0.000]]}

---

(2)
{"formula": "LiZn2As2", "functional": "PBE", "state": "relaxed", "crystal_system": "tetragonal", "dos_at_fermi_per_ev_atom": 0.240, "magnetic_moment_mub_per_cell": 0.00, "delta_e_f_ev_per_atom": -0.073, "vol_a3_per_cell": 181, "cell": [[7.404, 0.000, 0.000], [0.000, 7.404, 0.000], [0.000, 0.000, 3.306]], "species": ["As", "As", "As", "As", "Zn", "Zn", "Zn", "Zn", "Li", "Li"], "fractional_positions": [[0.327, 0.827, 0.000], [0.827, 0.673, 0.000], [0.673, 0.173, 0.000], [0.173, 0.327, 0.000], [0.129, 0.629, 0.500], [0.629, 0.871, 0.500], [0.871, 0.371, 0.500], [0.371, 0.129, 0.500], [0.000, 0.000, 0.000], [0.500, 0.500, 0.000]]}

---

(3)
{"formula": "LiZnAs", "functional": "PBE", "state": "relaxed", "crystal_system": "tetragonal", "dos_at_fermi_per_ev_atom": 0.239, "magnetic_moment_mub_per_cell": 0.00, "delta_e_f_ev_per_atom": -0.143, "vol_a3_per_cell": 51, "cell": [[6.450, 0.026, 0.000], [5.153, 3.879, 0.000], [-5.802, -1.952, 2.033]], "species": ["As", "Li", "Zn"], "fractional_positions": [[0.995, 0.995, 0.000], [0.334, 0.334, 0.000], [0.671, 0.671, 0.000]]}